Record 1
## Ba2CrRh (PBE)

Data for a relaxed structure of Ba2CrRh.

Cell: 7.687 7.687 7.687 Å, 147.04 143.47 50.01°
Positions (direct):
Ba  0.000  0.000  0.000
Ba  0.745  0.245  0.500
Cr  0.326  0.826  0.500
Rh  0.402  0.402  0.000

Computed properties:
Offset from the most stable computed form: 1.54 kcal/mol of atoms

Record 2
## BaCr2Rh (PBE)

Data for a relaxed structure of BaCr2Rh.

Cell: 5.343 5.343 5.343 Å, 130.55 130.55 72.53°
Positions (direct):
Ba  0.000  0.000  0.000
Cr  0.250  0.750  0.500
Cr  0.750  0.250  0.500
Rh  0.500  0.500  0.000

Computed properties:
Offset from the most stable computed form: 13.45 kcal/mol of atoms

Record 3
## Ba2CrRh (PBE)

Data for a relaxed structure of Ba2CrRh.

Cell: 5.399 5.399 5.399 Å, 60.00 60.00 60.00°
Positions (direct):
Ba  0.000  0.000  0.000
Ba  0.250  0.250  0.250
Cr  0.500  0.500  0.500
Rh  0.750  0.750  0.750

Computed properties:
Offset from the most stable computed form: 8.10 kcal/mol of atoms

Record 4
## BaCrRh4 (PBE)

Data for a relaxed structure of BaCrRh4.

Cell: 5.392 5.392 5.392 Å, 60.00 60.00 60.00°
Positions (direct):
Ba  0.000  0.000  0.000
Cr  0.750  0.750  0.750
Rh  0.376  0.376  0.376
Rh  0.376  0.376  0.872
Rh  0.376  0.872  0.376
Rh  0.872  0.376  0.376

Record 5
## BaCr2Rh (PBE)

Data for a relaxed structure of BaCr2Rh.

Cell: 4.893 4.893 5.992 Å, 101.64 101.64 37.56°
Positions (direct):
Ba  0.000  0.000  0.000
Cr  0.218  0.218  0.601
Cr  0.782  0.782  0.399
Rh  0.500  0.500  0.500

Computed properties:
Offset from the most stable computed form: 5.63 kcal/mol of atoms

Record 6
## Ba2CrRh (PBE)

Data for a relaxed structure of Ba2CrRh.

Cell: 5.959 5.959 5.959 Å, 131.71 131.71 70.69°
Positions (direct):
Ba  0.000  0.000  0.000
Ba  0.750  0.250  0.500
Cr  0.250  0.750  0.500
Rh  0.500  0.500  0.000

Computed properties:
Offset from the most stable computed form: 8.22 kcal/mol of atoms

Record 7
## BaCrRh3 (PBE)

Data for a relaxed structure of BaCrRh3.

Cell: 4.655 4.655 4.655 Å, 90.00 90.00 90.00°
Positions (direct):
Ba  0.000  0.000  0.000
Cr  0.500  0.500  0.500
Rh  0.000  0.500  0.500
Rh  0.500  0.000  0.500
Rh  0.500  0.500  0.000

Computed properties:
Offset from the most stable computed form: 0.00 kcal/mol of atoms

Record 8
## Ba4CrRh (PBE)

Data for a relaxed structure of Ba4CrRh.

Cell: 6.934 6.934 6.934 Å, 60.00 60.00 60.00°
Positions (direct):
Ba  0.376  0.376  0.376
Ba  0.376  0.376  0.873
Ba  0.376  0.873  0.376
Ba  0.873  0.376  0.376
Cr  0.000  0.000  0.000
Rh  0.750  0.750  0.750

Record 9
## BaCr2Rh (PBE)

Data for a relaxed structure of BaCr2Rh.

Cell: 5.011 5.011 5.011 Å, 60.00 60.00 60.00°
Positions (direct):
Ba  0.000  0.000  0.000
Cr  0.500  0.500  0.500
Cr  0.750  0.750  0.750
Rh  0.250  0.250  0.250

Computed properties:
Offset from the most stable computed form: 13.98 kcal/mol of atoms

Record 10
## BaCr2Rh (PBE)

Data for a relaxed structure of BaCr2Rh.

Cell: 4.382 4.382 4.567 Å, 90.00 90.00 90.00°
Positions (direct):
Ba  0.000  0.000  0.000
Cr  0.000  0.500  0.500
Cr  0.500  0.000  0.500
Rh  0.500  0.500  0.000

Computed properties:
Offset from the most stable computed form: 13.89 kcal/mol of atoms

Record 11
## Ba2Cr2Rh (PBE)

Data for a relaxed structure of Ba2Cr2Rh.

Cell: 5.675 5.675 5.675 Å, 111.44 111.44 105.61°
Positions (direct):
Ba  0.250  0.750  0.500
Ba  0.750  0.250  0.500
Cr  0.130  0.130  0.000
Cr  0.870  0.870  0.000
Rh  0.500  0.500  0.000

Computed properties:
Offset from the most stable computed form: 2.73 kcal/mol of atoms

Record 12
## BaCr2Rh (PBE)

Data for a relaxed structure of BaCr2Rh.

Cell: 9.884 9.884 9.884 Å, 18.65 18.65 18.65°
Positions (direct):
Ba  0.000  0.000  0.000
Cr  0.230  0.230  0.230
Cr  0.770  0.770  0.770
Rh  0.500  0.500  0.500

Computed properties:
Offset from the most stable computed form: 15.33 kcal/mol of atoms

Record 13
## BaCr2Rh (PBE)

Data for a relaxed structure of BaCr2Rh.

Cell: 4.577 4.577 4.577 Å, 60.00 60.00 60.00°
Positions (direct):
Ba  0.000  0.000  0.000
Cr  0.250  0.250  0.250
Cr  0.750  0.750  0.750
Rh  0.500  0.500  0.500

Computed properties:
Offset from the most stable computed form: 21.56 kcal/mol of atoms

Record 14
## BaCr2Rh (PBE)

Data for a relaxed structure of BaCr2Rh.

Cell: 7.159 7.159 7.159 Å, 153.17 145.15 44.52°
Positions (direct):
Ba  0.000  0.000  0.000
Cr  0.277  0.777  0.500
Cr  0.652  0.652  0.000
Rh  0.788  0.288  0.500

Computed properties:
Offset from the most stable computed form: 10.35 kcal/mol of atoms

Record 15
## BaCr2Rh (PBE)

Data for a relaxed structure of BaCr2Rh.

Cell: 6.172 6.172 6.172 Å, 149.36 127.88 61.68°
Positions (direct):
Ba  0.000  0.000  0.000
Cr  0.301  0.801  0.500
Cr  0.699  0.199  0.500
Rh  0.500  0.500  0.000

Computed properties:
Offset from the most stable computed form: 10.99 kcal/mol of atoms

Record 16
## BaCr2Rh (PBE)

Data for a relaxed structure of BaCr2Rh.

Cell: 3.175 3.247 7.817 Å, 90.00 90.00 90.00°
Positions (direct):
Ba  0.000  0.000  0.000
Cr  0.000  0.000  0.519
Cr  0.500  0.500  0.349
Rh  0.500  0.500  0.689

Computed properties:
Offset from the most stable computed form: 4.10 kcal/mol of atoms

Record 17
## BaCr3Rh (PBE)

Data for a relaxed structure of BaCr3Rh.

Cell: 4.969 4.969 4.969 Å, 90.00 90.00 90.00°
Positions (direct):
Ba  0.000  0.000  0.000
Cr  0.000  0.500  0.500
Cr  0.500  0.000  0.500
Cr  0.500  0.500  0.000
Rh  0.500  0.500  0.500

Computed properties:
Offset from the most stable computed form: 0.00 kcal/mol of atoms

Record 18
## BaCr2Rh (PBE)

Data for a relaxed structure of BaCr2Rh.

Cell: 5.141 5.141 3.281 Å, 90.00 90.00 108.61°
Positions (direct):
Ba  0.000  0.000  0.000
Cr  0.000  0.500  0.500
Cr  0.500  0.000  0.500
Rh  0.500  0.500  0.000

Computed properties:
Offset from the most stable computed form: 15.93 kcal/mol of atoms

Record 19
## Ba2CrRh (PBE)

Data for a relaxed structure of Ba2CrRh.

Cell: 5.580 5.580 5.580 Å, 60.00 60.00 60.00°
Positions (direct):
Ba  0.250  0.250  0.250
Ba  0.750  0.750  0.750
Cr  0.000  0.000  0.000
Rh  0.500  0.500  0.500

Computed properties:
Offset from the most stable computed form: 5.88 kcal/mol of atoms

Record 20
## Ba2CrRh (PBE)

Data for a relaxed structure of Ba2CrRh.

Cell: 4.504 6.533 6.533 Å, 44.58 90.00 90.00°
Positions (direct):
Ba  0.000  0.000  0.000
Ba  0.500  0.285  0.285
Cr  0.000  0.688  0.688
Rh  0.500  0.602  0.602

Computed properties:
Offset from the most stable computed form: 0.00 kcal/mol of atoms

Record 21
## BaCrRh3 (PBE)

Data for a relaxed structure of BaCrRh3.

Cell: 4.987 4.987 4.987 Å, 90.00 90.00 90.00°
Positions (direct):
Ba  0.000  0.000  0.000
Cr  0.500  0.500  0.500
Rh  0.000  0.000  0.500
Rh  0.000  0.500  0.000
Rh  0.500  0.000  0.000

Computed properties:
Offset from the most stable computed form: 49.13 kcal/mol of atoms

Record 22
## Ba2Cr2Rh (PBE)

Data for a relaxed structure of Ba2Cr2Rh.

Cell: 6.566 6.566 5.491 Å, 90.00 90.00 90.00°
Positions (direct):
Ba  0.190  0.310  0.000
Ba  0.310  0.810  0.000
Ba  0.690  0.190  0.000
Ba  0.810  0.690  0.000
Cr  0.102  0.602  0.500
Cr  0.398  0.102  0.500
Cr  0.602  0.898  0.500
Cr  0.898  0.398  0.500
Rh  0.000  0.000  0.500
Rh  0.500  0.500  0.500

Computed properties:
Offset from the most stable computed form: 0.00 kcal/mol of atoms

Record 23
## BaCr3Rh (PBE)

Data for a relaxed structure of BaCr3Rh.

Cell: 4.869 4.869 4.869 Å, 90.00 90.00 90.00°
Positions (direct):
Ba  0.000  0.000  0.000
Cr  0.000  0.000  0.500
Cr  0.000  0.500  0.000
Cr  0.500  0.000  0.000
Rh  0.500  0.500  0.500

Computed properties:
Offset from the most stable computed form: 41.95 kcal/mol of atoms

Record 24
## BaCr2Rh (PBE)

Data for a relaxed structure of BaCr2Rh.

Cell: 6.396 6.396 6.396 Å, 39.78 39.78 39.78°
Positions (direct):
Ba  0.000  0.000  0.000
Cr  0.508  0.508  0.508
Cr  0.806  0.806  0.806
Rh  0.194  0.194  0.194

Computed properties:
Offset from the most stable computed form: 0.00 kcal/mol of atoms

Record 25
## BaCr2Rh (PBE)

Data for a relaxed structure of BaCr2Rh.

Cell: 8.848 8.848 8.848 Å, 144.46 144.46 51.14°
Positions (direct):
Ba  0.375  0.625  0.750
Ba  0.625  0.375  0.250
Cr  0.000  0.000  0.000
Cr  0.000  0.000  0.500
Cr  0.000  0.500  0.000
Cr  0.500  0.000  0.500
Rh  0.125  0.875  0.250
Rh  0.875  0.125  0.750

Computed properties:
Offset from the most stable computed form: 10.97 kcal/mol of atoms

Record 26
## Ba2CrRh (PBE)

Data for a relaxed structure of Ba2CrRh.

Cell: 3.685 3.685 9.392 Å, 90.00 90.00 90.00°
Positions (direct):
Ba  0.000  0.000  0.000
Ba  0.500  0.500  0.419
Cr  0.000  0.000  0.676
Rh  0.500  0.500  0.741

Computed properties:
Offset from the most stable computed form: 3.56 kcal/mol of atoms

Record 27
## BaCr2Rh (PBE)

Data for a relaxed structure of BaCr2Rh.

Cell: 3.114 3.691 7.285 Å, 90.00 90.00 90.00°
Positions (direct):
Ba  0.000  0.000  0.000
Cr  0.500  0.500  0.367
Cr  0.500  0.500  0.633
Rh  0.000  0.000  0.500

Computed properties:
Offset from the most stable computed form: 8.40 kcal/mol of atoms

Record 28
## BaCr2Rh (PBE)

Data for a relaxed structure of BaCr2Rh.

Cell: 3.021 4.370 6.508 Å, 90.00 99.19 90.00°
Positions (direct):
Ba  0.000  0.000  0.000
Cr  0.414  0.500  0.628
Cr  0.586  0.500  0.372
Rh  0.000  0.000  0.500

Computed properties:
Offset from the most stable computed form: 7.97 kcal/mol of atoms

Record 29
## Ba2CrRh (PBE)

Data for a relaxed structure of Ba2CrRh.

Cell: 8.705 8.705 8.705 Å, 94.38 94.38 147.91°
Positions (direct):
Ba  0.375  0.199  0.324
Ba  0.801  0.125  0.176
Ba  0.875  0.051  0.676
Ba  0.949  0.625  0.824
Cr  0.250  0.750  0.500
Cr  0.500  0.500  0.000
Rh  0.000  0.000  0.000
Rh  0.750  0.250  0.500

Computed properties:
Offset from the most stable computed form: 2.97 kcal/mol of atoms

| no. | theoretical density (g cm⁻³) | energy (eV per atom) | E_form (eV per atom) |
| --- | --- | --- | --- |
| 1 | 4.87 | -4.953 | 0.252 |
| 2 | 6.64 | -6.238 | 0.892 |
| 3 | 6.41 | -4.669 | 0.536 |
| 4 | 9.00 | -6.546 | 0.279 |
| 5 | 6.69 | -6.577 | 0.553 |
| 6 | 6.17 | -4.664 | 0.542 |
| 7 | 8.20 | -6.447 | 0.273 |
| 8 | 4.96 | -3.051 | 1.060 |
| 9 | 6.42 | -6.215 | 0.915 |
| 10 | 6.52 | -6.219 | 0.912 |
| 11 | 5.70 | -5.237 | 0.852 |
| 12 | 6.62 | -6.156 | 0.974 |
| 13 | 8.43 | -5.886 | 1.244 |
| 14 | 6.06 | -6.372 | 0.758 |
| 15 | 6.10 | -6.345 | 0.786 |
| 16 | 7.09 | -6.643 | 0.487 |
| 17 | 5.36 | -6.769 | 0.860 |
| 18 | 6.96 | -6.130 | 1.000 |
| 19 | 5.81 | -4.765 | 0.440 |
| 20 | 5.29 | -5.020 | 0.185 |
| 21 | 6.67 | -4.317 | 2.403 |
| 22 | 6.75 | -5.355 | 0.734 |
| 23 | 5.70 | -4.950 | 2.679 |
| 24 | 5.92 | -6.821 | 0.309 |
| 25 | 4.91 | -6.345 | 0.785 |
| 26 | 5.59 | -4.866 | 0.339 |
| 27 | 6.83 | -6.457 | 0.674 |
| 28 | 6.74 | -6.475 | 0.655 |
| 29 | 4.24 | -4.891 | 0.314 |